Record 1
Material: PrNdMgAg
Method: DFT, PBE-GGA
State: optimized geometry

CIF file:
```
data_PrNdMgAg
_chemical_formula_sum 'Pr1 Nd1 Mg1 Ag1'
_space_group_name_H-M_alt 'P 1'
_space_group_IT_number 1
_space_group_name_Hall 'P 1'
_cell_length_a 5.4290
_cell_length_b 5.4290
_cell_length_c 5.4290
_cell_angle_alpha 60.00
_cell_angle_beta 60.00
_cell_angle_gamma 60.00
loop_
_atom_site_label
_atom_site_type_symbol
_atom_site_fract_x
_atom_site_fract_y
_atom_site_fract_z
_atom_site_occupancy
Pr1 Pr 0.0000 0.0000 0.0000 1
Mg1 Mg 0.7500 0.7500 0.7500 1
Nd1 Nd 0.5000 0.5000 0.5000 1
Ag1 Ag 0.2500 0.2500 0.2500 1
```

Symmetry: F-43m (216)
E above lowest polymorph: 48 meV per atom
Final energy: -0.267 Ry/atom

***

Record 2
Material: La2MgBi
Method: DFT, PBE-GGA
State: optimized geometry

CIF file:
```
data_La2MgBi
_chemical_formula_sum 'La2 Mg1 Bi1'
_space_group_name_H-M_alt 'P 1'
_space_group_IT_number 1
_space_group_name_Hall 'P 1'
_cell_length_a 4.2428
_cell_length_b 4.2428
_cell_length_c 7.0606
_cell_angle_alpha 90.00
_cell_angle_beta 90.00
_cell_angle_gamma 90.00
loop_
_atom_site_label
_atom_site_type_symbol
_atom_site_fract_x
_atom_site_fract_y
_atom_site_fract_z
_atom_site_occupancy
Mg1 Mg 0.5000 0.5000 0.5000 1
Bi1 Bi 0.5000 0.5000 0.0000 1
La1 La 0.0000 0.0000 0.7557 1
La2 La 0.0000 0.0000 0.2443 1
```

Symmetry: P4/mmm (123)
E above lowest polymorph: 0 meV per atom
Final energy: -0.321 Ry/atom